Below is crystalline MnP2ClF at its relaxed geometry, with properties calculated at the PBE with a Hubbard U level.

Computed properties:
The value obtained for the density of states at the Fermi level is 4.5 states/eV/f.u. The calculation puts the electronic total energy at -0.149 hartree per atom. The calculation puts the relative energy among the computed polymorphs at 0.106 eV/atom. For the mass density, the calculation gives 2.8 Mg/m³.

Cell: 4.6409 4.6409 4.6909 Å, 90.00 90.00 90.00°
Last column: nearest neighbours and their distance in Å.
Space group P4/mmm (No. 123)
Symmetry-distinct sites (fractional):
Mn: 0.0000 0.0000 0.0000 [1 per cell]  4 P 2.32, 2 Cl 2.35
P: 0.0000 0.5000 0.0000 [2 per cell]  2 Mn 2.32
Cl: 0.0000 0.0000 0.5000 [1 per cell]  2 Mn 2.35
F: 0.5000 0.5000 0.5000 [1 per cell]  4 Cl 3.28, 8 P 3.30

Below is crystalline MnP2ClF at its relaxed geometry, with properties calculated at the PBE with a Hubbard U level.

Computed properties:
The value obtained for the density of states at the Fermi level is 1.5 states/eV/f.u. The calculation puts the electronic total energy at -0.152 hartree per atom. The calculation puts the relative energy among the computed polymorphs at 0.000 eV/atom. For the mass density, the calculation gives 3.1 Mg/m³.

Cell: 4.0923 4.0923 5.5198 Å, 90.00 90.00 90.00°
Last column: nearest neighbours and their distance in Å.
Space group P4/mmm (No. 123)
Symmetry-distinct sites (fractional):
Mn: 0.0000 0.0000 0.0000 [1 per cell]  4 Cl 2.89
P: 0.0000 0.5000 0.5000 [2 per cell]  2 F 2.05
Cl: 0.5000 0.5000 0.0000 [1 per cell]  2 F 2.76, 4 Mn 2.89
F: 0.5000 0.5000 0.5000 [1 per cell]  4 P 2.05

Below is crystalline MnPCl2F at its relaxed geometry, with properties calculated at the PBE with a Hubbard U level.

Computed properties:
The value obtained for the density of states at the Fermi level is 3.2 states/eV/f.u. The calculation puts the electronic total energy at -0.138 hartree per atom. The calculation puts the relative energy among the computed polymorphs at 0.304 eV/atom. For the mass density, the calculation gives 2.8 Mg/m³.

Cell: 5.3686 5.3686 3.6532 Å, 90.00 90.00 90.00°
Last column: nearest neighbours and their distance in Å.
Space group P4/mmm (No. 123)
Symmetry-distinct sites (fractional):
Mn: 0.0000 0.0000 0.0000 [1 per cell]  8 Cl 3.25
P: 0.5000 0.5000 0.0000 [1 per cell]  2 F 1.83
Cl: 0.0000 0.5000 0.5000 [2 per cell]  2 F 2.68
F: 0.5000 0.5000 0.5000 [1 per cell]  2 P 1.83

Below is crystalline Mn2PbClF at its relaxed geometry, with properties calculated at the PBE with a Hubbard U level.

Computed properties:
The value obtained for the density of states at the Fermi level is 0.1 states/eV/f.u. The calculation puts the electronic total energy at -0.176 hartree per atom. For the mass density, the calculation gives 4.3 Mg/m³.

Cell: 5.5382 5.5382 4.6391 Å, 90.00 90.00 90.00°
Last column: nearest neighbours and their distance in Å.
Space group P4/mmm (No. 123)
Symmetry-distinct sites (fractional):
Mn: 0.0000 0.5000 0.0000 [2 per cell]  2 Pb 2.77
Pb: 0.0000 0.0000 0.0000 [1 per cell]  2 F 2.32
Cl: 0.5000 0.5000 0.5000 [1 per cell]  8 Mn 3.61, 4 F 3.92
F: 0.0000 0.0000 0.5000 [1 per cell]  2 Pb 2.32

Below is crystalline MnPb2ClF at its relaxed geometry, with properties calculated at the PBE with a Hubbard U level.

Computed properties:
The value obtained for the density of states at the Fermi level is 2.8 states/eV/f.u. The calculation puts the electronic total energy at -0.158 hartree per atom. For the mass density, the calculation gives 6.7 Mg/m³.

Cell: 5.7362 5.7362 3.9750 Å, 90.00 90.00 90.00°
Last column: nearest neighbours and their distance in Å.
Space group P4/mmm (No. 123)
Symmetry-distinct sites (fractional):
Mn: 0.0000 0.0000 0.0000 [1 per cell]  2 F 1.99
Pb: 0.0000 0.5000 0.0000 [2 per cell]  2 Mn 2.87
Cl: 0.5000 0.5000 0.5000 [1 per cell]  8 Pb 3.49
F: 0.0000 0.0000 0.5000 [1 per cell]  2 Mn 1.99

Below is crystalline Rb3Mn2Cl5F2 at its relaxed geometry, with properties calculated at the PBE with a Hubbard U level.

Computed properties:
The value obtained for the density of states at the Fermi level is 0.0 states/eV/f.u. The calculation puts the electronic total energy at -0.165 hartree per atom. For the mass density, the calculation gives 3.0 Mg/m³.

Cell: 5.2025 5.2025 23.7669 Å, 90.00 90.00 90.00°
Last column: nearest neighbours and their distance in Å.
Space group I4/mmm (No. 139)
Symmetry-distinct sites (fractional):
Rb: 0.0000 0.0000 0.0000 [2 per cell]  12 Cl 3.61-3.68
Rb: 0.0000 0.0000 0.1927 [4 per cell]  1 F 2.68
Mn: 0.0000 0.0000 0.3910 [4 per cell]  1 F 2.03
Cl: 0.0000 0.0000 0.5000 [2 per cell]  2 Mn 2.59
Cl: 0.0000 0.5000 0.1056 [8 per cell]  2 Mn 2.60
F: 0.0000 0.0000 0.3056 [4 per cell]  1 Mn 2.03

Below is crystalline Rb2MnCl6F at its relaxed geometry, with properties calculated at the PBE with a Hubbard U level.

Computed properties:
The value obtained for the density of states at the Fermi level is 0.0 states/eV/f.u. The calculation puts the electronic total energy at -0.126 hartree per atom. For the mass density, the calculation gives 2.8 Mg/m³.

Cell: 7.7211 7.7211 9.0939 Å, 90.00 90.00 90.00°
Last column: nearest neighbours and their distance in Å.
Space group I4/mmm (No. 139)
Symmetry-distinct sites (fractional):
Rb: 0.0000 0.5000 0.2500 [4 per cell]  12 Cl 3.58-3.87
Mn: 0.0000 0.0000 0.0000 [2 per cell]  6 Cl 2.32-2.53
Cl: 0.0000 0.0000 0.2786 [4 per cell]  1 F 2.01
Cl: 0.2121 0.2121 0.0000 [8 per cell]  1 Mn 2.32
F: 0.0000 0.0000 0.5000 [2 per cell]  2 Cl 2.01

Below is crystalline RbMnClF2 at its relaxed geometry, with properties calculated at the PBE with a Hubbard U level.

Computed properties:
The value obtained for the density of states at the Fermi level is 0.0 states/eV/f.u. The calculation puts the electronic total energy at -0.188 hartree per atom. For the mass density, the calculation gives 3.6 Mg/m³.

Cell: 4.3933 4.3933 5.1216 Å, 90.00 90.00 90.00°
Last column: nearest neighbours and their distance in Å.
Space group P4/mmm (No. 123)
Symmetry-distinct sites (fractional):
Rb: 0.0000 0.0000 0.0000 [1 per cell]  4 Cl 3.11, 8 F 3.37
Mn: 0.5000 0.5000 0.5000 [1 per cell]  4 F 2.20
Cl: 0.5000 0.5000 0.0000 [1 per cell]  2 Mn 2.56
F: 0.0000 0.5000 0.5000 [2 per cell]  2 Mn 2.20

Below is crystalline Rb3Mn2Cl3F4 at its relaxed geometry, with properties calculated at the PBE with a Hubbard U level.

Computed properties:
The value obtained for the density of states at the Fermi level is 0.0 states/eV/f.u. The calculation puts the electronic total energy at -0.177 hartree per atom. For the mass density, the calculation gives 3.3 Mg/m³.

Cell: 4.2767 5.1145 24.9193 Å, 90.00 90.00 90.00°
Last column: nearest neighbours and their distance in Å.
Space group Immm (No. 71)
Symmetry-distinct sites (fractional):
Rb: 0.0000 0.0000 0.0000 [2 per cell]  8 Cl 3.31-3.33
Rb: 0.0000 0.0000 0.1954 [4 per cell]  1 F 2.74
Mn: 0.0000 0.0000 0.3898 [4 per cell]  3 F 2.11-2.14
Cl: 0.0000 0.0000 0.5000 [2 per cell]  2 Mn 2.75
Cl: 0.0000 0.5000 0.3984 [4 per cell]  2 Mn 2.57
F: 0.0000 0.0000 0.3053 [4 per cell]  1 Mn 2.11
F: 0.0000 0.5000 0.1118 [4 per cell]  2 Mn 2.14

Below is crystalline Rb2MnCl4F2 at its relaxed geometry, with properties calculated at the PBE with a Hubbard U level.

Computed properties:
The calculation puts the electronic total energy at -0.148 hartree per atom. For the mass density, the calculation gives 2.8 Mg/m³.

Cell: 6.9803 6.9803 9.7979 Å, 90.00 90.00 90.00°
Last column: nearest neighbours and their distance in Å.
Space group I4/mmm (No. 139)
Symmetry-distinct sites (fractional):
Rb: 0.0000 0.5000 0.2500 [4 per cell]  8 Cl 3.48, 4 F 3.54
Mn: 0.0000 0.0000 0.0000 [2 per cell]  2 F 1.84
Cl: 0.2360 0.2360 0.0000 [8 per cell]  1 Mn 2.33
F: 0.0000 0.0000 0.1880 [4 per cell]  1 Mn 1.84

Below is crystalline Rb3Mn2Cl4F3 at its relaxed geometry, with properties calculated at the PBE with a Hubbard U level.

Computed properties:
The value obtained for the density of states at the Fermi level is 0.0 states/eV/f.u. The calculation puts the electronic total energy at -0.173 hartree per atom. For the mass density, the calculation gives 3.2 Mg/m³.

Cell: 4.3016 25.8513 5.2157 Å, 90.00 90.00 90.00°
Last column: nearest neighbours and their distance in Å.
Space group Imm2 (No. 44)
Symmetry-distinct sites (fractional):
Rb: 0.0000 0.0000 0.0000 [2 per cell]  4 F 2.98-3.00, 4 Cl 3.19
Rb: 0.0000 0.1842 0.9185 [4 per cell]  7 Cl 3.26-3.39
Mn: 0.0000 0.4165 0.9219 [4 per cell]  3 F 2.15-2.16
Cl: 0.0000 0.3140 0.9166 [4 per cell]  1 Mn 2.65
Cl: 0.0000 0.4106 0.4127 [4 per cell]  2 Mn 2.56-2.66
F: 0.0000 0.0820 0.4075 [4 per cell]  2 Mn 2.15
F: 0.0000 0.5000 0.8959 [2 per cell]  2 Mn 2.16

Below is crystalline Rb3Mn2Cl2F5 at its relaxed geometry, with properties calculated at the PBE with a Hubbard U level.

Computed properties:
The value obtained for the density of states at the Fermi level is 0.0 states/eV/f.u. The calculation puts the electronic total energy at -0.185 hartree per atom. For the mass density, the calculation gives 3.6 Mg/m³.

Cell: 4.4382 4.4382 24.6666 Å, 90.00 90.00 90.00°
Last column: nearest neighbours and their distance in Å.
Space group I4/mmm (No. 139)
Symmetry-distinct sites (fractional):
Rb: 0.0000 0.0000 0.0000 [2 per cell]  12 F 3.05-3.14
Rb: 0.0000 0.0000 0.1707 [4 per cell]  4 F 3.07, 4 Cl 3.17
Mn: 0.0000 0.0000 0.4141 [4 per cell]  5 F 2.12-2.22
Cl: 0.0000 0.0000 0.3106 [4 per cell]  1 Mn 2.55
F: 0.0000 0.0000 0.5000 [2 per cell]  2 Mn 2.12
F: 0.0000 0.5000 0.0847 [8 per cell]  2 Mn 2.22